1.
## CeHf2Zr8 (PBE)

Data for crystalline CeHf2Zr8 at its relaxed geometry.

Its crystal system is monoclinic. For the total energy, the calculation gives -8.428 eV per atom.

It has space group C2/m (No. 12), with a = 21.271 Å, b = 3.214 Å, c = 8.530 Å, α = 90.00°, β = 112.47° and γ = 90.00°. The asymmetric unit holds Ce at (0.000, 0.000, 0.000), Hf at (0.192, 0.500, 0.698), Zr at (0.055, 0.500, 0.733), Zr at (0.076, 0.000, 0.429), Zr at (0.179, 0.000, 0.002) and Zr at (0.188, 0.500, 0.334).

---

2.
## LiTbGdGe (PBE)

Data for crystalline LiTbGdGe at its relaxed geometry.

Its crystal system is cubic. For the total energy, the calculation gives -6.728 eV per atom.

It has space group F-43m (No. 216), with a = 7.148 Å, b = 7.148 Å, c = 7.148 Å, α = 90.00°, β = 90.00° and γ = 90.00°. The asymmetric unit holds Li at (0.000, 0.000, 0.000), Tb at (0.250, 0.250, 0.250), Gd at (0.250, 0.250, 0.750) and Ge at (0.000, 0.000, 0.500).

---

3.
## CaTl3O (PBE)

Data for crystalline CaTl3O at its relaxed geometry.

Its crystal system is cubic. The calculation puts the offset from the most stable computed form at 0.0000 eV/atom. For the uncorrected formation energy, the calculation gives -1.28 eV per formula unit.

It has space group Pm-3m (No. 221), with a = 5.135 Å, b = 5.135 Å, c = 5.135 Å, α = 90.00°, β = 90.00° and γ = 90.00°. The asymmetric unit holds Ca at (0.000, 0.000, 0.000), Tl at (0.000, 0.500, 0.500) and O at (0.500, 0.500, 0.500).

---

4.
## BaCaP2O (PBE)

Data for crystalline BaCaP2O at its relaxed geometry.

Its crystal system is tetragonal. The calculation puts the offset from the most stable computed form at 0.0000 eV/atom. For the uncorrected formation energy, the calculation gives -2.32 eV per formula unit.

It has space group P4/mmm (No. 123), with a = 5.427 Å, b = 5.427 Å, c = 4.479 Å, α = 90.00°, β = 90.00° and γ = 90.00°. The asymmetric unit holds Ba at (0.000, 0.000, 0.000), Ca at (0.500, 0.500, 0.500), P at (0.000, 0.500, 0.500) and O at (0.500, 0.500, 0.000).

---

5.
## Ca3Pb2 (PBE)

Data for crystalline Ca3Pb2 at its relaxed geometry.

Its crystal system is tetragonal. For the total energy, the calculation gives -3.104 eV per atom.

It has space group I4/mmm (No. 139), with a = 4.105 Å, b = 4.105 Å, c = 19.301 Å, α = 90.00°, β = 90.00° and γ = 90.00°. The asymmetric unit holds Ca at (0.000, 0.000, 0.000), Ca at (0.000, 0.000, 0.187) and Pb at (0.000, 0.000, 0.395).

---

6.
## Ba2InSn (PBE)

Data for crystalline Ba2InSn at its relaxed geometry.

Its crystal system is tetragonal. The calculation puts the offset from the most stable computed form at 0.4242 eV/atom.

It has space group I-42d (No. 122), with a = 9.541 Å, b = 9.541 Å, c = 7.393 Å, α = 90.00°, β = 90.00° and γ = 90.00°. The asymmetric unit holds Ba at (0.243, 0.750, 0.125), In at (0.000, 0.000, 0.500) and Sn at (0.000, 0.000, 0.000).

---

| no. | magnetization (μB per formula unit) |
| --- | --- |
| 1 | 0.5 |
| 2 | 7.4 |
| 3 | 0.0 |
| 4 | 2.2 |
| 5 | 0.0 |
| 6 | 0.0 |